No. 1
Below is a geometry-optimized As2RuSe structure, with properties calculated at the PBE level.

Computed properties:
ρ (g/cm3): 7.28
Formation energy from raw total energies (kcal/mol of atoms): 6.03
Total moment (μB per cell): 0.00

```
data_As2RuSe
_space_group_name_H-M_alt 'C m m m'
_space_group_IT_number 65
_space_group_name_Hall '-C 2 2'
_cell_length_a 3.023
_cell_length_b 4.820
_cell_length_c 10.328
_cell_angle_alpha 90.00
_cell_angle_beta 90.00
_cell_angle_gamma 90.00
loop_
_atom_site_label
_atom_site_type_symbol
_atom_site_fract_x
_atom_site_fract_y
_atom_site_fract_z
_atom_site_occupancy
As1 As 0.000 0.000 0.198 1
Ru1 Ru 0.000 0.500 0.000 1
Se1 Se 0.000 0.500 0.500 1
```



No. 2
Below is a geometry-optimized AcCuSb2 structure, with properties calculated at the PBE level.

Computed properties:
ρ (g/cm3): 7.97
Formation energy from raw total energies (kcal/mol of atoms): -3.13
Total moment (μB per cell): 0.00

```
data_AcCuSb2
_space_group_name_H-M_alt 'F m -3 m'
_space_group_IT_number 225
_space_group_name_Hall '-F 4 2 3'
_cell_length_a 7.635
_cell_length_b 7.635
_cell_length_c 7.635
_cell_angle_alpha 90.00
_cell_angle_beta 90.00
_cell_angle_gamma 90.00
loop_
_atom_site_label
_atom_site_type_symbol
_atom_site_fract_x
_atom_site_fract_y
_atom_site_fract_z
_atom_site_occupancy
Ac1 Ac 0.000 0.000 0.000 1
Cu1 Cu 0.000 0.000 0.500 1
Sb1 Sb 0.250 0.250 0.250 1
```



No. 3
Below is a geometry-optimized KScCl structure, with properties calculated at the PBE level.

Computed properties:
ρ (g/cm3): 2.24
Formation energy from raw total energies (kcal/mol of atoms): -14.54
Total moment (μB per cell): 4.00

```
data_KScCl
_space_group_name_H-M_alt 'F m m 2'
_space_group_IT_number 42
_space_group_name_Hall 'F 2 -2'
_cell_length_a 3.619
_cell_length_b 6.278
_cell_length_c 15.582
_cell_angle_alpha 90.00
_cell_angle_beta 90.00
_cell_angle_gamma 90.00
loop_
_atom_site_label
_atom_site_type_symbol
_atom_site_fract_x
_atom_site_fract_y
_atom_site_fract_z
_atom_site_occupancy
K1 K 0.000 0.000 0.000 1
Sc1 Sc 0.000 0.000 0.288 1
Cl1 Cl 0.000 0.000 0.662 1
```



No. 4
Below is a geometry-optimized Ca2GaAg3Sn4 structure, with properties calculated at the PBE level.

Computed properties:
Energy of formation (kcal/mol of atoms): -6.7
ρ (g/cm3): 6.33
Total moment (μB per cell): 0.00

```
data_Ca2GaAg3Sn4
_space_group_name_H-M_alt 'P -4 m 2'
_space_group_IT_number 115
_cell_length_a 4.473
_cell_length_b 4.473
_cell_length_c 12.432
_cell_angle_alpha 90.00
_cell_angle_beta 90.00
_cell_angle_gamma 90.00
loop_
_space_group_symop_operation_xyz
'x,y,z'
'y,-x,-z'
'-x,-y,z'
'-y,x,-z'
'-x,y,z'
'-y,-x,-z'
'x,-y,z'
'y,x,-z'
loop_
_atom_site_label
_atom_site_type_symbol
_atom_site_fract_x
_atom_site_fract_y
_atom_site_fract_z
_atom_site_occupancy
Ca1 Ca 0.000 0.500 0.250 1
Ga1 Ga 0.000 0.000 0.500 1
Ag1 Ag 0.000 0.500 0.853 1
Ag2 Ag 0.500 0.500 0.500 1
Sn1 Sn 0.000 0.000 0.000 1
Sn2 Sn 0.000 0.500 0.638 1
Sn3 Sn 0.500 0.500 0.000 1
```



No. 5
Below is a geometry-optimized ZrCr2Re structure, with properties calculated at the PBE level.

Computed properties:
Energy of formation (kcal/mol of atoms): 2.2
ρ (g/cm3): 10.73
Total moment (μB per cell): 0.01

```
data_ZrCr2Re
_space_group_name_H-M_alt 'P 4/m m m'
_space_group_IT_number 123
_space_group_name_Hall '-P 4 2'
_cell_length_a 4.374
_cell_length_b 4.374
_cell_length_c 3.085
_cell_angle_alpha 90.00
_cell_angle_beta 90.00
_cell_angle_gamma 90.00
loop_
_atom_site_label
_atom_site_type_symbol
_atom_site_fract_x
_atom_site_fract_y
_atom_site_fract_z
_atom_site_occupancy
Zr1 Zr 0.000 0.000 0.000 1
Cr1 Cr 0.000 0.500 0.500 1
Re1 Re 0.500 0.500 0.000 1
```



No. 6
Below is a geometry-optimized ScTeOs2Ru structure, with properties calculated at the PBE level.

Computed properties:
ρ (g/cm3): 10.56
Formation energy from raw total energies (kcal/mol of atoms): 44.32
Total moment (μB per cell): 0.00

```
data_ScTeOs2Ru
_space_group_name_H-M_alt 'P 4/m m m'
_space_group_IT_number 123
_space_group_name_Hall '-P 4 2'
_cell_length_a 4.730
_cell_length_b 4.730
_cell_length_c 4.599
_cell_angle_alpha 90.00
_cell_angle_beta 90.00
_cell_angle_gamma 90.00
loop_
_atom_site_label
_atom_site_type_symbol
_atom_site_fract_x
_atom_site_fract_y
_atom_site_fract_z
_atom_site_occupancy
Sc1 Sc 0.000 0.000 0.000 1
Te1 Te 0.500 0.500 0.500 1
Os1 Os 0.000 0.500 0.000 1
Ru1 Ru 0.000 0.000 0.500 1
```



No. 7
Below is a geometry-optimized AcHo2Ga structure, with properties calculated at the PBE level.

Computed properties:
Energy of formation (kcal/mol of atoms): -2.3
ρ (g/cm3): 8.05
Total moment (μB per cell): 0.00

```
data_AcHo2Ga
_space_group_name_H-M_alt 'R 3 m'
_space_group_IT_number 160
_space_group_name_Hall 'R 3 -2"'
_cell_length_a 4.9462
_cell_length_b 4.9462
_cell_length_c 18.3071
_cell_angle_alpha 90.00
_cell_angle_beta 90.00
_cell_angle_gamma 120.00
loop_
_atom_site_label
_atom_site_type_symbol
_atom_site_fract_x
_atom_site_fract_y
_atom_site_fract_z
_atom_site_occupancy
Ac1 Ac 0.0000 0.0000 0.0000 1
Ho1 Ho 0.0000 0.0000 0.2127 1
Ho2 Ho 0.0000 0.0000 0.4483 1
Ga1 Ga 0.0000 0.0000 0.8087 1
```



No. 8
Below is a geometry-optimized Tm5FeTc structure, with properties calculated at the PBE level.

Computed properties:
Energy of formation (kcal/mol of atoms): 0.6
ρ (g/cm3): 9.17
Total moment (μB per cell): 0.00

```
data_Tm5FeTc
_space_group_name_H-M_alt 'C 1 2/c 1'
_space_group_IT_number 15
_cell_length_a 9.182
_cell_length_b 13.552
_cell_length_c 6.142
_cell_angle_alpha 90.00
_cell_angle_beta 108.80
_cell_angle_gamma 90.00
loop_
_space_group_symop_operation_xyz
'x,y,z'
'-x,-y,-z'
'-x,y,-z+1/2'
'x,-y,z+1/2'
'x+1/2,y+1/2,z'
'-x+1/2,-y+1/2,-z'
'-x+1/2,y+1/2,-z+1/2'
'x+1/2,-y+1/2,z+1/2'
loop_
_atom_site_label
_atom_site_type_symbol
_atom_site_fract_x
_atom_site_fract_y
_atom_site_fract_z
_atom_site_occupancy
Tm1 Tm 0.000 0.147 0.250 1
Tm2 Tm 0.108 0.349 0.558 1
Tm3 Tm 0.220 0.083 0.859 1
Fe1 Fe 0.000 0.000 0.000 1
Tc1 Tc 0.000 0.498 0.750 1
```



The highest total moment belongs to which entry? KScCl



What is the ρ in the second record? 7.97 g/cm3



Which of these has the highest total moment? KScCl



Look up the ρ of the eighth one. 9.17 g/cm3